Computed, not measured: a relaxed NbRe2W crystal at the PBE level of DFT.

Values from the calculation:
Fermi-level density of states = 3.58 states/eV/f.u.
ΔH_f (0 K) = 0.826 eV per atom
crystal system = tetragonal
E = -11.15 eV/atom
M_tot = 0.000 Bohr magnetons per cell

Cell and atoms, written as POSCAR:
```
NbRe2W
1.0
-3.6257 3.6257 2.6580
3.6257 -3.6257 2.6580
3.6257 3.6257 -2.6580
Nb Re W
2 4 2
Direct
0.0000 0.0000 0.0000 Nb
0.7500 0.2500 0.5000 Nb
0.1371 0.6250 0.0121 Re
0.3750 0.3871 0.5121 Re
0.6129 0.1250 0.9879 Re
0.8750 0.8629 0.4879 Re
0.2500 0.7500 0.5000 W
0.5000 0.5000 0.0000 W
```